An optimized crystal structure of MnBCl2, computed with PBE-GGA.

## Properties
density of states at the Fermi level: 6.42 states/eV/f.u.
space-group type: I-42d (122)
volume: 159.78 Å³ per cell
E_form (uncorrected): 1125 meV/atom

Unit cell a=5.7904 b=5.7904 c=6.2828 alpha=62.56 beta=62.56 gamma=90.00
Closest atoms and distances in Å follow each position.
Atoms (fractional coordinates):
1 Cl 0.0667 0.6250 0.2500  2 Mn 2.18
2 B 0.2500 0.7500 0.5000  4 Cl 2.59
3 B 0.5000 0.5000 0.0000  4 Cl 2.59
4 Cl 0.8750 0.9333 0.7500  2 Mn 2.18
5 Mn 0.7500 0.2500 0.5000  4 Cl 2.18
6 Cl 0.6833 0.1250 0.2500  2 Mn 2.18
7 Mn 0.0000 0.0000 0.0000  4 Cl 2.18
8 Cl 0.3750 0.3167 0.7500  2 Mn 2.18